# Tm2HPtRh6, optimized geometry, DFT PBE
data_Tm2HPtRh6
_chemical_formula_sum 'Tm4 H2 Pt2 Rh12'
_space_group_name_H-M_alt 'C 1 2/m 1'
_space_group_IT_number 12
_cell_length_a 8.945
_cell_length_b 5.539
_cell_length_c 7.041
_cell_angle_alpha 90.00
_cell_angle_beta 114.76
_cell_angle_gamma 90.00
loop_
_space_group_symop_operation_xyz
'x,y,z'
'-x,-y,-z'
'-x,y,-z'
'x,-y,z'
'x+1/2,y+1/2,z'
'-x+1/2,-y+1/2,-z'
'-x+1/2,y+1/2,-z'
'x+1/2,-y+1/2,z'
loop_
_atom_site_label
_atom_site_fract_x
_atom_site_fract_y
_atom_site_fract_z
Tm1 0.233 0.000 0.153
H1 0.000 0.000 0.500
Pt1 0.000 0.500 0.000
Rh1 0.082 0.263 0.366
Rh2 0.197 0.000 0.726
# Energy (eV for the cell shown): -133.984
# M_tot (μB/cell): 0.0
# Theoretical density (g/cm³): 12.07

***

# TmHPt2Rh, optimized geometry, DFT PBE
data_TmHPt2Rh
_chemical_formula_sum 'Tm1 H1 Pt2 Rh1'
_space_group_name_H-M_alt 'P 4/m m m'
_space_group_IT_number 123
_space_group_name_Hall '-P 4 2'
_cell_length_a 4.088
_cell_length_b 4.088
_cell_length_c 4.166
_cell_angle_alpha 90.00
_cell_angle_beta 90.00
_cell_angle_gamma 90.00
loop_
_atom_site_label
_atom_site_fract_x
_atom_site_fract_y
_atom_site_fract_z
Tm1 0.000 0.000 0.000
H1 0.500 0.500 0.500
Pt1 0.000 0.500 0.500
Rh1 0.500 0.500 0.000
# Energy (eV for the cell shown): -30.997
# M_tot (μB/cell): 0.0
# Theoretical density (g/cm³): 15.81

***

# UH8PtRh4, optimized geometry, DFT PBE
data_UH8PtRh4
_chemical_formula_sum 'U3 H24 Pt3 Rh12'
_space_group_name_H-M_alt 'R 3 m'
_space_group_IT_number 160
_space_group_name_Hall 'R 3 -2"'
_cell_length_a 5.6709
_cell_length_b 5.6709
_cell_length_c 13.8192
_cell_angle_alpha 90.00
_cell_angle_beta 90.00
_cell_angle_gamma 120.00
loop_
_atom_site_label
_atom_site_fract_x
_atom_site_fract_y
_atom_site_fract_z
U1 0.0000 0.0000 0.0000
H1 0.0000 0.0000 0.3842
H2 0.0000 0.0000 0.8411
H3 0.0709 0.5354 0.8278
H4 0.0921 0.5461 0.3830
Pt1 0.0000 0.0000 0.6175
Rh1 0.0000 0.0000 0.2481
Rh2 0.0055 0.5028 0.1255
# Energy (eV for the cell shown): -223.338
# M_tot (μB/cell): 6.7
# Theoretical density (g/cm³): 11.04

***

Q: What is the M_tot in the third record?
A: 6.7 μB/cell